La2Pm4Sm2Tm: optimized geometry, PBE.

As for the total magnetic moment: 0.000 μB per formula unit. The crystal system is monoclinic. The calculation puts the formation energy at 0.0103 eV per atom.

Unit cell a=19.0789 b=3.6857 c=9.7782 alpha=90.00 beta=115.55 gamma=90.00
Space group C2/m (No. 12)
One atom of each set of equivalent atoms:
La 0.1646 0.0000 0.4989 x4
Pm 0.0189 0.0000 0.8316 x4
Pm 0.1853 0.5000 0.8344 x4
Sm 0.1471 0.5000 0.1657 x4
Tm 0.0000 0.5000 0.5000 x2